The following is a PBE calculation of a relaxed Ce8Ir3Au2 crystal, from Alexandria.

Values from the calculation:
- energy relative to the elements (eV per atom) = -0.430
- relative energy among the computed polymorphs (meV/atom) = 17

```
data_Ce8Ir3Au2
_chemical_formula_sum 'Ce16 Ir6 Au4'
_cell_length_a 15.062
_cell_length_b 8.011
_cell_length_c 6.970
_cell_angle_alpha 90.00
_cell_angle_beta 108.29
_cell_angle_gamma 90.00
_space_group_name_H-M_alt 'C 1 2/m 1'
_space_group_IT_number 12
loop_
_space_group_symop_operation_xyz
'x,y,z'
'-x,-y,-z'
'-x,y,-z'
'x,-y,z'
'x+1/2,y+1/2,z'
'-x+1/2,-y+1/2,-z'
'-x+1/2,y+1/2,-z'
'x+1/2,-y+1/2,z'
loop_
_atom_site_label
_atom_site_type_symbol
_atom_site_fract_x
_atom_site_fract_y
_atom_site_fract_z
_atom_site_occupancy
Ce1 Ce 0.109 0.000 0.408 1
Ce2 Ce 0.112 0.246 0.907 1
Ce3 Ce 0.118 0.500 0.433 1
Ir1 Ir 0.000 0.000 0.000 1
Ir2 Ir 0.000 0.256 0.500 1
Au1 Au 0.247 0.500 0.170 1
```


The following is a PBE calculation of a relaxed Ce2IrAu crystal, from Alexandria.

Values from the calculation:
- energy relative to the elements (eV per atom) = -0.667

```
data_Ce2IrAu
_chemical_formula_sum 'Ce6 Ir3 Au3'
_cell_length_a 4.1140
_cell_length_b 4.1140
_cell_length_c 21.3547
_cell_angle_alpha 90.00
_cell_angle_beta 90.00
_cell_angle_gamma 120.00
_space_group_name_H-M_alt 'R 3 m'
_space_group_IT_number 160
_space_group_name_Hall 'R 3 -2"'
loop_
_atom_site_label
_atom_site_type_symbol
_atom_site_fract_x
_atom_site_fract_y
_atom_site_fract_z
_atom_site_occupancy
Ce1 Ce 0.0000 0.0000 0.0000 1
Ce2 Ce 0.0000 0.0000 0.1888 1
Ir1 Ir 0.0000 0.0000 0.5940 1
Au1 Au 0.0000 0.0000 0.4282 1
```


The following is a PBE calculation of a relaxed Ce6IrAu crystal, from Alexandria.

Values from the calculation:
- energy relative to the elements (eV per atom) = -0.254

```
data_Ce6IrAu
_chemical_formula_sum 'Ce12 Ir2 Au2'
_cell_length_a 12.807
_cell_length_b 5.127
_cell_length_c 7.827
_cell_angle_alpha 90.00
_cell_angle_beta 123.56
_cell_angle_gamma 90.00
_space_group_name_H-M_alt 'C 1 2/m 1'
_space_group_IT_number 12
loop_
_space_group_symop_operation_xyz
'x,y,z'
'-x,-y,-z'
'-x,y,-z'
'x,-y,z'
'x+1/2,y+1/2,z'
'-x+1/2,-y+1/2,-z'
'-x+1/2,y+1/2,-z'
'x+1/2,-y+1/2,z'
loop_
_atom_site_label
_atom_site_type_symbol
_atom_site_fract_x
_atom_site_fract_y
_atom_site_fract_z
_atom_site_occupancy
Ce1 Ce 0.118 0.000 0.458 1
Ce2 Ce 0.130 0.500 0.286 1
Ce3 Ce 0.220 0.500 0.852 1
Ir1 Ir 0.000 0.500 0.500 1
Au1 Au 0.000 0.000 0.000 1
```


The following is a PBE calculation of a relaxed Ce8Ir5Au crystal, from Alexandria.

Values from the calculation:
- energy relative to the elements (eV per atom) = -0.679

```
data_Ce8Ir5Au
_chemical_formula_sum 'Ce16 Ir10 Au2'
_cell_length_a 8.829
_cell_length_b 8.829
_cell_length_c 8.653
_cell_angle_alpha 90.00
_cell_angle_beta 90.00
_cell_angle_gamma 90.00
_space_group_name_H-M_alt 'I -4'
_space_group_IT_number 82
loop_
_space_group_symop_operation_xyz
'x,y,z'
'y,-x,-z'
'-x,-y,z'
'-y,x,-z'
'x+1/2,y+1/2,z+1/2'
'y+1/2,-x+1/2,-z+1/2'
'-x+1/2,-y+1/2,z+1/2'
'-y+1/2,x+1/2,-z+1/2'
loop_
_atom_site_label
_atom_site_type_symbol
_atom_site_fract_x
_atom_site_fract_y
_atom_site_fract_z
_atom_site_occupancy
Ce1 Ce 0.060 0.324 0.070 1
Ce2 Ce 0.063 0.195 0.680 1
Ir1 Ir 0.000 0.500 0.750 1
Ir2 Ir 0.133 0.248 0.372 1
Au1 Au 0.000 0.000 0.000 1
```


The following is a PBE calculation of a relaxed Ce2IrAu crystal, from Alexandria.

Values from the calculation:
- energy relative to the elements (eV per atom) = -0.641

```
data_Ce2IrAu
_chemical_formula_sum 'Ce2 Ir1 Au1'
_cell_length_a 4.2174
_cell_length_b 4.2174
_cell_length_c 6.7788
_cell_angle_alpha 90.00
_cell_angle_beta 90.00
_cell_angle_gamma 120.00
_space_group_name_H-M_alt 'P -3 m 1'
_space_group_IT_number 164
_space_group_name_Hall '-P 3 2"'
loop_
_atom_site_label
_atom_site_type_symbol
_atom_site_fract_x
_atom_site_fract_y
_atom_site_fract_z
_atom_site_occupancy
Ce1 Ce 0.3333 0.6667 0.2802 1
Ir1 Ir 0.0000 0.0000 0.5000 1
Au1 Au 0.0000 0.0000 0.0000 1
```


The following is a PBE calculation of a relaxed Ce6IrAu5 crystal, from Alexandria.

Values from the calculation:
- energy relative to the elements (eV per atom) = -0.625

```
data_Ce6IrAu5
_chemical_formula_sum 'Ce12 Ir2 Au10'
_cell_length_a 16.402
_cell_length_b 7.332
_cell_length_c 5.096
_cell_angle_alpha 90.00
_cell_angle_beta 108.04
_cell_angle_gamma 90.00
_space_group_name_H-M_alt 'C 1 2/m 1'
_space_group_IT_number 12
loop_
_space_group_symop_operation_xyz
'x,y,z'
'-x,-y,-z'
'-x,y,-z'
'x,-y,z'
'x+1/2,y+1/2,z'
'-x+1/2,-y+1/2,-z'
'-x+1/2,y+1/2,-z'
'x+1/2,-y+1/2,z'
loop_
_atom_site_label
_atom_site_type_symbol
_atom_site_fract_x
_atom_site_fract_y
_atom_site_fract_z
_atom_site_occupancy
Ce1 Ce 0.000 0.226 0.000 1
Ce2 Ce 0.153 0.236 0.654 1
Ir1 Ir 0.000 0.000 0.500 1
Au1 Au 0.000 0.500 0.500 1
Au2 Au 0.171 0.500 0.172 1
Au3 Au 0.191 0.000 0.191 1
```


The following is a PBE calculation of a relaxed Ce6Ir3Au crystal, from Alexandria.

Values from the calculation:
- energy relative to the elements (eV per atom) = -0.581
- relative energy among the computed polymorphs (meV/atom) = 0

```
data_Ce6Ir3Au
_chemical_formula_sum 'Ce12 Ir6 Au2'
_cell_length_a 11.772
_cell_length_b 4.111
_cell_length_c 11.794
_cell_angle_alpha 90.00
_cell_angle_beta 110.51
_cell_angle_gamma 90.00
_space_group_name_H-M_alt 'P 1 21/m 1'
_space_group_IT_number 11
loop_
_space_group_symop_operation_xyz
'x,y,z'
'-x,-y,-z'
'-x,y+1/2,-z'
'x,-y+1/2,z'
loop_
_atom_site_label
_atom_site_type_symbol
_atom_site_fract_x
_atom_site_fract_y
_atom_site_fract_z
_atom_site_occupancy
Ce1 Ce 0.033 0.250 0.381 1
Ce2 Ce 0.095 0.250 0.927 1
Ce3 Ce 0.244 0.750 0.267 1
Ce4 Ce 0.262 0.250 0.702 1
Ce5 Ce 0.423 0.750 0.543 1
Ce6 Ce 0.441 0.250 0.111 1
Ir1 Ir 0.082 0.250 0.161 1
Ir2 Ir 0.172 0.750 0.525 1
Ir3 Ir 0.495 0.750 0.286 1
Au1 Au 0.296 0.750 0.913 1
```


The following is a PBE calculation of a relaxed Ce5Ir2Au4 crystal, from Alexandria.

Values from the calculation:
- energy relative to the elements (eV per atom) = -0.696

```
data_Ce5Ir2Au4
_chemical_formula_sum 'Ce10 Ir4 Au8'
_cell_length_a 7.694
_cell_length_b 18.023
_cell_length_c 3.645
_cell_angle_alpha 90.00
_cell_angle_beta 90.00
_cell_angle_gamma 90.00
_space_group_name_H-M_alt 'P b a m'
_space_group_IT_number 55
loop_
_space_group_symop_operation_xyz
'x,y,z'
'-x,-y,-z'
'-x,-y,z'
'x,y,-z'
'x+1/2,-y+1/2,-z'
'-x+1/2,y+1/2,z'
'-x+1/2,y+1/2,-z'
'x+1/2,-y+1/2,z'
loop_
_atom_site_label
_atom_site_type_symbol
_atom_site_fract_x
_atom_site_fract_y
_atom_site_fract_z
_atom_site_occupancy
Ce1 Ce 0.000 0.000 0.000 1
Ce2 Ce 0.130 0.420 0.000 1
Ce3 Ce 0.245 0.216 0.000 1
Ir1 Ir 0.035 0.304 0.500 1
Au1 Au 0.072 0.852 0.500 1
Au2 Au 0.210 0.568 0.500 1
```